# 1
The following is a DFT calculation (PBE) of crystalline Pm2CuNiPt6 at its relaxed geometry.

Space-group type: Fm-3m, No. 225
VASP energy: -5.71 eV per atom

Unit cell a=6.5737 b=6.5737 c=6.5737 alpha=60.00 beta=60.00 gamma=60.00
Positions (direct):
Pm 0.2500 0.2500 0.2500
Pm 0.7500 0.7500 0.7500
Cu 0.0000 0.0000 0.0000
Ni 0.5000 0.5000 0.5000
Pt 0.2503 0.2503 0.7497
Pt 0.2503 0.7497 0.2503
Pt 0.2503 0.7497 0.7497
Pt 0.7497 0.2503 0.2503
Pt 0.7497 0.2503 0.7497
Pt 0.7497 0.7497 0.2503

=====

# 2
The following is a DFT calculation (PBE) of crystalline Pm2CuNi2Pt5 at its relaxed geometry.

Space-group type: P4/mbm, No. 127
VASP energy: -6.21 eV per atom

Unit cell a=9.2658 b=9.2658 c=3.9658 alpha=90.00 beta=90.00 gamma=90.00
Positions (direct):
Pm 0.1780 0.3220 0.0000
Pm 0.3220 0.8220 0.0000
Pm 0.6780 0.1780 0.0000
Pm 0.8220 0.6780 0.0000
Cu 0.0000 0.0000 0.0000
Cu 0.5000 0.5000 0.0000
Ni 0.1209 0.6209 0.0000
Ni 0.3791 0.1209 0.0000
Ni 0.6209 0.8791 0.0000
Ni 0.8791 0.3791 0.0000
Pt 0.0000 0.5000 0.5000
Pt 0.0636 0.7958 0.5000
Pt 0.2042 0.0636 0.5000
Pt 0.2958 0.5636 0.5000
Pt 0.4364 0.2958 0.5000
Pt 0.5000 0.0000 0.5000
Pt 0.5636 0.7042 0.5000
Pt 0.7042 0.4364 0.5000
Pt 0.7958 0.9364 0.5000
Pt 0.9364 0.2042 0.5000

=====

| no. | formation enthalpy at 0 K (eV per atom) |
| --- | --- |
| 1 | -0.14 |
| 2 | -0.67 |